{"formula": "YFe2TcAu", "functional": "PBEsol", "state": "relaxed", "lattice": [[4.6222, 0.0000, 0.0000], [0.0000, 4.6222, 0.0000], [0.0000, 0.0000, 5.1854]], "species": ["Y", "Au", "Tc", "Fe", "Fe"], "fractional_positions": [[0.0000, 0.0000, 0.5000], [0.0000, 0.0000, 0.0000], [0.5000, 0.5000, 0.5000], [0.0000, 0.5000, 0.0000], [0.5000, 0.0000, 0.0000]], "formation_enthalpy_0k_ev_per_fu": 7.6, "energy_ev_per_atom": -6.468, "crystal_system": "tetragonal"}


{"formula": "LiW2Se", "functional": "PBEsol", "state": "relaxed", "lattice": [[-1.3318, -2.2695, -0.7188], [0.0158, 0.3851, 2.7004], [-7.9230, 4.8540, -0.6458]], "species": ["Li", "Se", "W", "W"], "fractional_positions": [[0.5000, 0.5000, 0.5000], [0.5000, 0.5000, 0.0000], [0.0000, 0.0000, 0.2414], [0.0000, 0.0000, 0.7586]], "energy_ev_per_atom": -7.566, "crystal_system": "orthorhombic", "e_form_raw_ev_per_atom": 0.7915}


{"formula": "BaH3Ru", "functional": "PBEsol", "state": "relaxed", "lattice": [[3.8610, 0.0000, 0.0000], [0.0000, 3.8610, 0.0000], [0.0000, 0.0000, 3.8610]], "species": ["Ru", "Ba", "H", "H", "H"], "fractional_positions": [[0.0000, 0.0000, 0.0000], [0.5000, 0.5000, 0.5000], [0.0000, 0.5000, 0.0000], [0.0000, 0.0000, 0.5000], [0.5000, 0.0000, 0.0000]], "energy_ev_per_atom": -4.672, "crystal_system": "cubic"}


{"formula": "TiOsRu2", "functional": "PBEsol", "state": "relaxed", "lattice": [[4.3037, 0.0000, 0.0000], [2.1519, 3.7271, 0.0000], [2.1519, 1.2424, 3.5140]], "species": ["Ru", "Ru", "Os", "Ti"], "fractional_positions": [[0.2500, 0.2500, 0.2500], [0.7500, 0.7500, 0.7500], [0.5000, 0.5000, 0.5000], [0.0000, 0.0000, 0.0000]], "formation_enthalpy_0k_ev_per_fu": 0.4, "energy_ev_per_atom": -10.110, "crystal_system": "cubic"}


{"formula": "LaPt2Pb", "functional": "PBEsol", "state": "relaxed", "lattice": [[-2.1964, 3.3704, -0.5308], [-0.6633, -1.0743, -4.0769], [-3.1964, -4.2667, 1.6444]], "species": ["Pb", "Pt", "Pt", "La"], "fractional_positions": [[0.7669, 0.5000, 0.5338], [0.0397, 0.5000, 0.0795], [0.2093, 0.0000, 0.4186], [0.4840, 0.0000, 0.9681]], "formation_enthalpy_0k_ev_per_fu": -2.9, "energy_ev_per_atom": -6.538, "crystal_system": "orthorhombic"}


{"formula": "BeFe2Co", "functional": "PBEsol", "state": "relaxed", "lattice": [[3.8208, 0.0000, 0.0000], [1.9104, 3.3089, 0.0000], [1.9104, 1.1030, 3.1197]], "species": ["Be", "Co", "Fe", "Fe"], "fractional_positions": [[0.5000, 0.5000, 0.5000], [0.2500, 0.2500, 0.2500], [0.0000, 0.0000, 0.0000], [0.7500, 0.7500, 0.7500]], "formation_enthalpy_0k_ev_per_fu": -0.3, "energy_ev_per_atom": -7.480, "crystal_system": "cubic"}


{"formula": "Ca2InN", "functional": "PBEsol", "state": "relaxed", "lattice": [[-1.3088, -0.6026, -3.1417], [-3.1667, -3.2511, 1.9428], [-6.0376, 7.6439, 2.9503]], "species": ["Ca", "Ca", "Ca", "Ca", "In", "In", "N", "N"], "fractional_positions": [[0.2182, 0.7500, 0.4364], [0.7818, 0.2500, 0.5636], [0.3792, 0.7500, 0.7584], [0.6208, 0.2500, 0.2416], [0.0393, 0.7500, 0.0785], [0.9607, 0.2500, 0.9215], [0.8007, 0.7500, 0.6015], [0.1993, 0.2500, 0.3985]], "energy_ev_per_atom": -4.722, "crystal_system": "orthorhombic", "e_form_raw_ev_per_atom": -0.7784}


{"formula": "CsNdMo2O8", "functional": "PBEsol", "state": "relaxed", "lattice": [[5.1102, 0.0000, 0.0000], [0.0000, 8.1608, 0.0000], [0.0000, 0.0000, 9.4855]], "species": ["Cs", "Cs", "Nd", "Nd", "Mo", "Mo", "Mo", "Mo", "O", "O", "O", "O", "O", "O", "O", "O", "O", "O", "O", "O", "O", "O", "O", "O"], "fractional_positions": [[0.0000, 0.2500, 0.5000], [0.0000, 0.7500, 0.5000], [0.0000, 0.2500, 0.0000], [0.0000, 0.7500, 0.0000], [0.4804, 0.0000, 0.8012], [0.5196, 0.0000, 0.1988], [0.5196, 0.5000, 0.8012], [0.4804, 0.5000, 0.1988], [0.7433, 0.0000, 0.9337], [0.2567, 0.0000, 0.0663], [0.2567, 0.5000, 0.9337], [0.7433, 0.5000, 0.0663], [0.7325, 0.3280, 0.8063], [0.2675, 0.6720, 0.1937], [0.2675, 0.3280, 0.1937], [0.2675, 0.1720, 0.8063], [0.7325, 0.6720, 0.8063], [0.7325, 0.8280, 0.1937], [0.7325, 0.1720, 0.1937], [0.2675, 0.8280, 0.8063], [0.6260, 0.0000, 0.6382], [0.3740, 0.0000, 0.3618], [0.3740, 0.5000, 0.6382], [0.6260, 0.5000, 0.3618]], "energy_ev_per_atom": -8.411, "crystal_system": "orthorhombic", "e_form_raw_ev_per_atom": -2.4408}


{"formula": "ReBSe2N", "functional": "PBEsol", "state": "relaxed", "lattice": [[3.6903, 0.0000, 0.0000], [0.0000, 4.9363, 0.0000], [0.0000, 0.0000, 4.9363]], "species": ["Re", "B", "Se", "Se", "N"], "fractional_positions": [[0.0000, 0.0000, 0.0000], [0.5000, 0.5000, 0.5000], [0.0000, 0.0000, 0.5000], [0.0000, 0.5000, 0.0000], [0.5000, 0.0000, 0.0000]], "energy_ev_per_atom": -6.223, "crystal_system": "tetragonal", "e_form_raw_ev_per_atom": 1.0925}


{"formula": "CdPbCl2", "functional": "PBEsol", "state": "relaxed", "lattice": [[3.9822, 0.0000, 0.0000], [1.9911, 3.4487, 0.0000], [1.9911, 1.1496, 8.3165]], "species": ["Pb", "Cl", "Cl", "Cd"], "fractional_positions": [[0.4998, 0.4998, 0.5007], [0.9778, 0.9778, 0.0666], [0.7661, 0.7661, 0.7017], [0.2563, 0.2563, 0.2310]], "energy_ev_per_atom": -2.946, "polymorph_energy_mev_per_atom": 0, "crystal_system": "trigonal", "e_form_raw_ev_per_atom": -0.6430}


{"formula": "Sc2ZnSe", "functional": "PBEsol", "state": "relaxed", "lattice": [[-1.6984, 0.2373, 3.0232], [-3.5670, -0.7444, -1.9454], [3.3196, -5.1567, 0.2717]], "species": ["Sc", "Sc", "Se", "Zn"], "fractional_positions": [[0.9758, 0.9758, 0.9516], [0.2191, 0.7191, 0.4382], [0.5249, 0.5249, 0.0499], [0.7801, 0.2801, 0.5602]], "energy_ev_per_atom": -5.369, "polymorph_energy_mev_per_atom": 228, "crystal_system": "orthorhombic", "e_form_raw_ev_per_atom": -0.7081}


{"formula": "TcBr2F", "functional": "PBEsol", "state": "relaxed", "lattice": [[-3.0844, 2.6144, 4.5238], [-2.6209, -4.8489, -2.5363], [5.2227, -2.6696, 1.5522]], "species": ["Tc", "Tc", "Br", "Br", "Br", "Br", "F", "F"], "fractional_positions": [[0.5000, 0.7500, 0.2500], [0.0000, 0.0000, 0.0000], [0.0320, 0.6570, 0.1250], [0.9680, 0.0930, 0.6250], [0.5320, 0.8750, 0.9070], [0.4680, 0.3750, 0.3430], [0.5000, 0.2500, 0.7500], [0.0000, 0.5000, 0.5000]], "energy_ev_per_atom": -4.283, "polymorph_energy_mev_per_atom": 34, "crystal_system": "tetragonal", "e_form_raw_ev_per_atom": -0.0492}


{"formula": "Al4Zn4P8H13N3O32", "functional": "PBEsol", "state": "relaxed", "lattice": [[-2.1553, -7.7906, 3.4550], [2.9151, -5.4840, -7.0827], [8.1712, -1.5040, 4.5772]], "species": ["Al", "Al", "Al", "Al", "Zn", "Zn", "Zn", "Zn", "P", "P", "P", "P", "P", "P", "P", "P", "H", "H", "H", "H", "H", "H", "H", "H", "H", "H", "H", "H", "H", "N", "N", "N", "O", "O", "O", "O", "O", "O", "O", "O", "O", "O", "O", "O", "O", "O", "O", "O", "O", "O", "O", "O", "O", "O", "O", "O", "O", "O", "O", "O", "O", "O", "O", "O"], "fractional_positions": [[0.0565, 0.7943, 0.0567], [0.3892, 0.4274, 0.3092], [0.6073, 0.5641, 0.6902], [0.8918, 0.3111, 0.4230], [0.1273, 0.6877, 0.5601], [0.4543, 0.9522, 0.2039], [0.5484, 0.0423, 0.7923], [0.9314, 0.2226, 0.9781], [0.0961, 0.0809, 0.2145], [0.0304, 0.5685, 0.2942], [0.4833, 0.7016, 0.4294], [0.5863, 0.2157, 0.0827], [0.4044, 0.7894, 0.9174], [0.5421, 0.2882, 0.5547], [0.9622, 0.4418, 0.7109], [0.8988, 0.9219, 0.8093], [0.3188, 0.3728, 0.0025], [0.1754, 0.3943, 0.8898], [0.1255, 0.9268, 0.6850], [0.2652, 0.5348, 0.9308], [0.3667, 0.4001, 0.8282], [0.6299, 0.6587, 0.0693], [0.7082, 0.4759, 0.0739], [0.8188, 0.0188, 0.3928], [0.6787, 0.9057, 0.4051], [0.8194, 0.6055, 0.0960], [0.7606, 0.5795, 0.9370], [0.7621, 0.9442, 0.5507], [0.8668, 0.8403, 0.4181], [0.2807, 0.4245, 0.9137], [0.7277, 0.5806, 0.0460], [0.7814, 0.9297, 0.4411], [0.0992, 0.1837, 0.0903], [0.0094, 0.6394, 0.1483], [0.0338, 0.9410, 0.1716], [0.9977, 0.6869, 0.4093], [0.0389, 0.8722, 0.6787], [0.0847, 0.5407, 0.6836], [0.1948, 0.4886, 0.2930], [0.2515, 0.0443, 0.2690], [0.2409, 0.7455, 0.9640], [0.3254, 0.7381, 0.5180], [0.4090, 0.3283, 0.4630], [0.4498, 0.3318, 0.1504], [0.4828, 0.5787, 0.3195], [0.4859, 0.8091, 0.0486], [0.6044, 0.0823, 0.1736], [0.5359, 0.1409, 0.6149], [0.5360, 0.8306, 0.3509], [0.3874, 0.9215, 0.8249], [0.5465, 0.1865, 0.9337], [0.5250, 0.4044, 0.6763], [0.4946, 0.6549, 0.8348], [0.6083, 0.6521, 0.5293], [0.6957, 0.2972, 0.4595], [0.7321, 0.2913, 0.0788], [0.7500, 0.9082, 0.7475], [0.7956, 0.5300, 0.7387], [0.9151, 0.4598, 0.3134], [0.9748, 0.1473, 0.3407], [0.9647, 0.3380, 0.5837], [0.9251, 0.0703, 0.8460], [0.9984, 0.3635, 0.8465], [0.9247, 0.8137, 0.9291]], "energy_ev_per_atom": -6.655, "crystal_system": "triclinic"}


{"formula": "LaPbSe2", "functional": "PBEsol", "state": "relaxed", "lattice": [[3.9739, 0.0000, 0.0000], [0.0000, 4.1765, 0.0000], [-1.9870, -2.0882, 6.7883]], "species": ["La", "Pb", "Se", "Se"], "fractional_positions": [[0.4604, 0.4604, 0.9209], [0.2246, 0.7246, 0.4493], [0.0224, 0.0224, 0.0449], [0.7925, 0.2925, 0.5850]], "energy_ev_per_atom": -5.469, "crystal_system": "orthorhombic", "e_form_raw_ev_per_atom": -1.2075}


{"formula": "ZnCuSe", "functional": "PBEsol", "state": "relaxed", "lattice": [[-2.9710, 2.2076, 0.6938], [0.4662, -1.5105, -3.4181], [-2.1305, -3.2236, 1.1340]], "species": ["Cu", "Se", "Zn"], "fractional_positions": [[0.0000, 0.0000, 0.9843], [0.6667, 0.3333, 0.6992], [0.3333, 0.6667, 0.3165]], "energy_ev_per_atom": -3.232, "polymorph_energy_mev_per_atom": 0, "crystal_system": "trigonal", "e_form_raw_ev_per_atom": 0.0238}


{"formula": "YCl2", "functional": "PBEsol", "state": "relaxed", "lattice": [[-1.9053, -2.4051, -1.4766], [3.5973, -3.1649, 0.5133], [-2.3080, -1.1893, 8.8416]], "species": ["Cl", "Cl", "Cl", "Cl", "Y", "Y"], "fractional_positions": [[0.6843, 0.7500, 0.3686], [0.4494, 0.7500, 0.8988], [0.3157, 0.2500, 0.6314], [0.5506, 0.2500, 0.1012], [0.0754, 0.7500, 0.1507], [0.9246, 0.2500, 0.8493]], "energy_ev_per_atom": -5.420, "crystal_system": "orthorhombic", "e_form_raw_ev_per_atom": -1.8072}


{"formula": "CaBeIr3", "functional": "PBEsol", "state": "relaxed", "lattice": [[-0.6763, -4.4768, 0.9869], [4.5394, -0.7933, -0.4875], [0.6400, 0.8956, 4.5012]], "species": ["Be", "Ca", "Ir", "Ir", "Ir"], "fractional_positions": [[0.5000, 0.5000, 0.5000], [0.0000, 0.0000, 0.0000], [0.0000, 0.5000, 0.0000], [0.0000, 0.0000, 0.5000], [0.5000, 0.0000, 0.0000]], "formation_enthalpy_0k_ev_per_fu": 13.6, "energy_ev_per_atom": -4.406, "crystal_system": "cubic"}


{"formula": "LaFe2P2", "functional": "PBEsol", "state": "relaxed", "lattice": [[3.7768, 0.0000, 0.0000], [0.0000, 3.7768, 0.0000], [-1.8884, -1.8884, 5.3439]], "species": ["P", "P", "Fe", "Fe", "La"], "fractional_positions": [[0.3513, 0.3513, 0.7026], [0.6487, 0.6487, 0.2974], [0.2500, 0.7500, 0.5000], [0.7500, 0.2500, 0.5000], [0.0000, 0.0000, 0.0000]], "formation_enthalpy_0k_ev_per_fu": -5.4, "energy_ev_per_atom": -8.044, "crystal_system": "tetragonal"}


{"formula": "Mn3ZnBi", "functional": "PBEsol", "state": "relaxed", "lattice": [[-3.2790, -2.7077, -1.7167], [3.0598, -1.9097, -2.8322], [0.9573, -3.1705, 3.1721]], "species": ["Zn", "Mn", "Mn", "Mn", "Bi"], "fractional_positions": [[0.0000, 0.0000, 0.0000], [0.0000, 0.5000, 0.0000], [0.0000, 0.0000, 0.5000], [0.5000, 0.0000, 0.0000], [0.5000, 0.5000, 0.5000]], "formation_enthalpy_0k_ev_per_fu": 4.2, "energy_ev_per_atom": -6.194, "crystal_system": "cubic"}


{"formula": "Mn2SiMo", "functional": "PBEsol", "state": "relaxed", "lattice": [[-0.2576, -1.1876, -2.6790], [-3.5837, -1.4544, 0.9894], [-1.7239, 3.3502, -1.3194]], "species": ["Mo", "Mn", "Mn", "Si"], "fractional_positions": [[0.5000, 0.5000, 0.5000], [0.0000, 0.0000, 0.5000], [0.0000, 0.5000, 0.0000], [0.5000, 0.0000, 0.0000]], "energy_ev_per_atom": -9.535, "crystal_system": "tetragonal", "e_form_raw_ev_per_atom": -0.2756}